Crystalline KNb2Os at its relaxed geometry. Source: the Alexandria database, functional PBE-GGA.

The structure in CIF format:
```
data_KNb2Os
_cell_length_a 6.654
_cell_length_b 6.654
_cell_length_c 6.654
_cell_angle_alpha 90.00
_cell_angle_beta 90.00
_cell_angle_gamma 90.00
_space_group_name_H-M_alt 'F m -3 m'
_space_group_IT_number 225
_space_group_name_Hall '-F 4 2 3'
loop_
_atom_site_label
_atom_site_type_symbol
_atom_site_fract_x
_atom_site_fract_y
_atom_site_fract_z
K1 K 0.000 0.000 0.000
Nb1 Nb 0.250 0.250 0.250
Os1 Os 0.000 0.000 0.500
```

ΔH_f (0 K) ... 1051 meV per atom
ΔE to the lowest computed polymorph ... 0.0 meV per atom

---

Crystalline KNb2Os at its relaxed geometry. Source: the Alexandria database, functional PBE-GGA.

The structure in CIF format:
```
data_KNb2Os
_cell_length_a 5.224
_cell_length_b 5.224
_cell_length_c 17.371
_cell_angle_alpha 90.00
_cell_angle_beta 90.00
_cell_angle_gamma 90.00
_space_group_name_H-M_alt 'I -4 2 d'
_space_group_IT_number 122
_space_group_name_Hall 'I -4 2bw'
loop_
_atom_site_label
_atom_site_type_symbol
_atom_site_fract_x
_atom_site_fract_y
_atom_site_fract_z
K1 K 0.000 0.000 0.000
Nb1 Nb 0.037 0.250 0.625
Os1 Os 0.000 0.000 0.500
```

ΔH_f (0 K) ... 1510 meV per atom
ΔE to the lowest computed polymorph ... 458.7 meV per atom

---

Crystalline K2NbOs at its relaxed geometry. Source: the Alexandria database, functional PBE-GGA.

The structure in CIF format:
```
data_K2NbOs
_cell_length_a 12.518
_cell_length_b 12.518
_cell_length_c 4.690
_cell_angle_alpha 90.00
_cell_angle_beta 90.00
_cell_angle_gamma 90.00
_space_group_name_H-M_alt 'I -4 2 d'
_space_group_IT_number 122
_space_group_name_Hall 'I -4 2bw'
loop_
_atom_site_label
_atom_site_type_symbol
_atom_site_fract_x
_atom_site_fract_y
_atom_site_fract_z
K1 K 0.089 0.250 0.125
Nb1 Nb 0.000 0.000 0.500
Os1 Os 0.000 0.000 0.000
```

ΔH_f (0 K) ... 1420 meV per atom
ΔE to the lowest computed polymorph ... 0.0 meV per atom

---

Crystalline K2NbOs at its relaxed geometry. Source: the Alexandria database, functional PBE-GGA.

The structure in CIF format:
```
data_K2NbOs
_cell_length_a 7.345
_cell_length_b 7.345
_cell_length_c 7.345
_cell_angle_alpha 90.00
_cell_angle_beta 90.00
_cell_angle_gamma 90.00
_space_group_name_H-M_alt 'F m -3 m'
_space_group_IT_number 225
_space_group_name_Hall '-F 4 2 3'
loop_
_atom_site_label
_atom_site_type_symbol
_atom_site_fract_x
_atom_site_fract_y
_atom_site_fract_z
K1 K 0.250 0.250 0.250
Nb1 Nb 0.000 0.000 0.000
Os1 Os 0.000 0.000 0.500
```

ΔH_f (0 K) ... 2520 meV per atom
ΔE to the lowest computed polymorph ... 1100.3 meV per atom

---

Crystalline KNbOs3 at its relaxed geometry. Source: the Alexandria database, functional PBE-GGA.

The structure in CIF format:
```
data_KNbOs3
_cell_length_a 4.899
_cell_length_b 4.899
_cell_length_c 4.899
_cell_angle_alpha 90.00
_cell_angle_beta 90.00
_cell_angle_gamma 90.00
_space_group_name_H-M_alt 'P m -3 m'
_space_group_IT_number 221
_space_group_name_Hall '-P 4 2 3'
loop_
_atom_site_label
_atom_site_type_symbol
_atom_site_fract_x
_atom_site_fract_y
_atom_site_fract_z
K1 K 0.000 0.000 0.000
Nb1 Nb 0.500 0.500 0.500
Os1 Os 0.000 0.500 0.500
```

ΔH_f (0 K) ... 2059 meV per atom
ΔE to the lowest computed polymorph ... 0.0 meV per atom

---

Crystalline KNbOs3 at its relaxed geometry. Source: the Alexandria database, functional PBE-GGA.

The structure in CIF format:
```
data_KNbOs3
_cell_length_a 4.501
_cell_length_b 4.501
_cell_length_c 4.501
_cell_angle_alpha 90.00
_cell_angle_beta 90.00
_cell_angle_gamma 90.00
_space_group_name_H-M_alt 'P m -3 m'
_space_group_IT_number 221
_space_group_name_Hall '-P 4 2 3'
loop_
_atom_site_label
_atom_site_type_symbol
_atom_site_fract_x
_atom_site_fract_y
_atom_site_fract_z
K1 K 0.000 0.000 0.000
Nb1 Nb 0.500 0.500 0.500
Os1 Os 0.000 0.000 0.500
```

ΔH_f (0 K) ... 3430 meV per atom
ΔE to the lowest computed polymorph ... 1371.2 meV per atom

---

Crystalline K2NbOsPt at its relaxed geometry. Source: the Alexandria database, functional PBE-GGA.

The structure in CIF format:
```
data_K2NbOsPt
_cell_length_a 6.332
_cell_length_b 6.332
_cell_length_c 4.617
_cell_angle_alpha 90.00
_cell_angle_beta 90.00
_cell_angle_gamma 90.00
_space_group_name_H-M_alt 'P 4/m m m'
_space_group_IT_number 123
_space_group_name_Hall '-P 4 2'
loop_
_atom_site_label
_atom_site_type_symbol
_atom_site_fract_x
_atom_site_fract_y
_atom_site_fract_z
K1 K 0.000 0.500 0.000
Nb1 Nb 0.000 0.000 0.000
Os1 Os 0.000 0.000 0.500
Pt1 Pt 0.500 0.500 0.500
```

ΔH_f (0 K) ... 1801 meV per atom

---

Crystalline KNbReOs2 at its relaxed geometry. Source: the Alexandria database, functional PBE-GGA.

The structure in CIF format:
```
data_KNbReOs2
_cell_length_a 4.475
_cell_length_b 4.475
_cell_length_c 4.509
_cell_angle_alpha 90.00
_cell_angle_beta 90.00
_cell_angle_gamma 90.00
_space_group_name_H-M_alt 'P 4/m m m'
_space_group_IT_number 123
_space_group_name_Hall '-P 4 2'
loop_
_atom_site_label
_atom_site_type_symbol
_atom_site_fract_x
_atom_site_fract_y
_atom_site_fract_z
K1 K 0.000 0.000 0.000
Nb1 Nb 0.500 0.500 0.500
Re1 Re 0.000 0.000 0.500
Os1 Os 0.000 0.500 0.000
```

ΔH_f (0 K) ... 3400 meV per atom

---

Number 1: total DFT energy (no corrections) -28.3 eV per formula unit. Number 2: total DFT energy (no corrections) -26.4 eV per formula unit. Number 3: total DFT energy (no corrections) -17.8 eV per formula unit. Number 4: total DFT energy (no corrections) -13.4 eV per formula unit. Number 5: total DFT energy (no corrections) -34.6 eV per formula unit. Number 6: total DFT energy (no corrections) -27.7 eV per formula unit. Number 7: total DFT energy (no corrections) -20.5 eV per formula unit. Number 8: total DFT energy (no corrections) -29.1 eV per formula unit.